Record 1
Density functional theory data (GGA-PBE) for a relaxed Np2Tl2CrS6 crystal.

Values from the calculation:
Formation energy from raw total energies, kJ/mol of formula units: -986

Lattice parameters (Å, degrees): 6.6429 6.6429 7.9152 98.32 98.32 119.57
Last column: magnetic moment on the atom in μB.
Sites, in units of the cell vectors:
Cr 0.0000 0.0000 0.5000  3.08
Tl 0.1700 0.8300 0.0000  0.00
Tl 0.8300 0.1700 0.0000  0.00
Np 0.6666 0.3334 0.5000  3.52
Np 0.3334 0.6666 0.5000  3.52
S 0.3786 0.0647 0.6875  -0.10
S 0.2432 0.2432 0.3133  -0.10
S 0.9353 0.6214 0.3125  -0.10
S 0.7568 0.7568 0.6867  -0.10
S 0.6214 0.9353 0.3125  -0.10
S 0.0647 0.3786 0.6875  -0.10



Record 2
Density functional theory data (GGA-PBE) for a relaxed CaSb2Pt crystal.

Values from the calculation:
Formation energy from raw total energies, kJ/mol of formula units: -237

Lattice parameters (Å, degrees): 6.9257 6.9257 6.9257 35.91 35.91 35.91
Sites, in units of the cell vectors:
Sb 0.4793 0.4793 0.4793
Sb 0.0207 0.0207 0.0207
Ca 0.2500 0.2500 0.2500
Pt 0.7500 0.7500 0.7500



Record 3
Density functional theory data (GGA-PBE) for a relaxed Hg3PRu crystal.

Values from the calculation:
Excess energy over the best structure of this formula in the dataset, eV/atom: 0.000

Lattice parameters (Å, degrees): 5.2481 5.2481 5.2481 90.00 90.00 90.00
Last column: magnetic moment on the atom in μB.
Sites, in units of the cell vectors:
Hg 0.5000 0.0000 0.0000  0.03
Hg 0.0000 0.5000 0.0000  0.03
Hg 0.0000 0.0000 0.5000  0.03
Ru 0.0000 0.0000 0.0000  1.23
P 0.5000 0.5000 0.5000  0.86



Record 4
Density functional theory data (GGA-PBE) for a relaxed ScZn2AsO6 crystal.

Values from the calculation:
Formation energy from raw total energies, kJ/mol of formula units: -1788

Lattice parameters (Å, degrees): 5.3705 6.5830 6.5830 86.94 84.66 84.66
Sites, in units of the cell vectors:
O 0.8705 0.0090 0.2086
O 0.8588 0.7239 0.5244
O 0.3705 0.2086 0.0090
O 0.5638 0.1475 0.6493
O 0.6295 0.7914 0.9910
O 0.1295 0.9910 0.7914
O 0.3588 0.5244 0.7239
O 0.1412 0.2761 0.4756
O 0.4362 0.8525 0.3507
O 0.6412 0.4756 0.2761
O 0.9362 0.3507 0.8525
O 0.0638 0.6493 0.1475
As 0.2500 0.2698 0.7302
As 0.7500 0.7302 0.2698
Zn 0.7045 0.5850 0.7737
Zn 0.7955 0.2263 0.4150
Zn 0.2045 0.7737 0.5850
Zn 0.2955 0.4150 0.2263
Sc 0.2500 0.9076 0.0924
Sc 0.7500 0.0924 0.9076



Respective raw total energy values: -0.5026; -0.3444; -0.1505; -0.4543 Ry per atom.